[1]
Density functional theory data (PBE) for a relaxed Nd3Sn4Pt2 crystal.

Cell and atoms, written as CIF:
```
data_Nd3Sn4Pt2
_symmetry_space_group_name_H-M 'C 1 2/m 1'
_symmetry_Int_Tables_number 12
_symmetry_space_group_name_Hall '-C 2y'
_cell_length_a 11.1290
_cell_length_b 4.8258
_cell_length_c 9.0412
_cell_angle_alpha 90.00
_cell_angle_beta 109.30
_cell_angle_gamma 90.00
loop_
_atom_site_label
_atom_site_type_symbol
_atom_site_fract_x
_atom_site_fract_y
_atom_site_fract_z
_atom_site_occupancy
Nd1 Nd 0.0000 0.0000 0.0000 1
Nd2 Nd 0.1353 0.5000 0.6848 1
Sn1 Sn 0.1001 0.0000 0.4155 1
Sn2 Sn 0.2108 0.5000 0.0675 1
Pt1 Pt 0.1556 0.5000 0.3307 1
```

Summary:
formation enthalpy at 0 K	-849.1	meV/atom

[2]
Density functional theory data (PBE) for a relaxed AlFeGe2Sb crystal.

Cell and atoms, written as CIF:
```
data_AlFeGe2Sb
_symmetry_space_group_name_H-M 'P 4/m m m'
_symmetry_Int_Tables_number 123
_symmetry_space_group_name_Hall '-P 4 2'
_cell_length_a 4.7966
_cell_length_b 4.7966
_cell_length_c 5.3699
_cell_angle_alpha 90.00
_cell_angle_beta 90.00
_cell_angle_gamma 90.00
loop_
_atom_site_label
_atom_site_type_symbol
_atom_site_fract_x
_atom_site_fract_y
_atom_site_fract_z
_atom_site_occupancy
Al1 Al 0.0000 0.0000 0.0000 1
Fe1 Fe 0.5000 0.5000 0.5000 1
Ge1 Ge 0.0000 0.5000 0.0000 1
Sb1 Sb 0.0000 0.0000 0.5000 1
```

Summary:
formation energy without anion corrections	1.0071	eV per atom

[3]
Density functional theory data (PBE) for a relaxed Pr2UOs crystal.

Cell and atoms, written as CIF:
```
data_Pr2UOs
_symmetry_space_group_name_H-M 'R -3 m'
_symmetry_Int_Tables_number 166
_symmetry_space_group_name_Hall '-R 3 2"'
_cell_length_a 3.2520
_cell_length_b 3.2520
_cell_length_c 32.9666
_cell_angle_alpha 90.00
_cell_angle_beta 90.00
_cell_angle_gamma 120.00
loop_
_atom_site_label
_atom_site_type_symbol
_atom_site_fract_x
_atom_site_fract_y
_atom_site_fract_z
_atom_site_occupancy
Pr1 Pr 0.0000 0.0000 0.0981 1
U1 U 0.0000 0.0000 0.0000 1
Os1 Os 0.0000 0.0000 0.5000 1
```

Summary:
formation enthalpy at 0 K	722.4	meV/atom

[4]
Density functional theory data (PBE) for a relaxed BiN crystal.

Cell and atoms, written as CIF:
```
data_BiN
_symmetry_space_group_name_H-M 'P 21 21 21'
_symmetry_Int_Tables_number 19
_symmetry_space_group_name_Hall 'P 2ac 2ab'
_cell_length_a 5.3793
_cell_length_b 5.4309
_cell_length_c 10.4590
_cell_angle_alpha 90.00
_cell_angle_beta 90.00
_cell_angle_gamma 90.00
loop_
_atom_site_label
_atom_site_type_symbol
_atom_site_fract_x
_atom_site_fract_y
_atom_site_fract_z
_atom_site_occupancy
Bi1 Bi 0.2439 0.0391 0.2457 1
Bi2 Bi 0.2488 0.4965 0.9985 1
N1 N 0.1520 0.4409 0.2884 1
N2 N 0.1533 0.8987 0.5347 1
```

Summary:
formation energy without anion corrections	0.6233	eV per atom

[5]
Density functional theory data (PBE) for a relaxed FeNi2PdCl crystal.

Cell and atoms, written as CIF:
```
data_FeNi2PdCl
_symmetry_space_group_name_H-M 'P 4/m m m'
_symmetry_Int_Tables_number 123
_symmetry_space_group_name_Hall '-P 4 2'
_cell_length_a 4.6400
_cell_length_b 4.6400
_cell_length_c 4.7324
_cell_angle_alpha 90.00
_cell_angle_beta 90.00
_cell_angle_gamma 90.00
loop_
_atom_site_label
_atom_site_type_symbol
_atom_site_fract_x
_atom_site_fract_y
_atom_site_fract_z
_atom_site_occupancy
Fe1 Fe 0.0000 0.0000 0.0000 1
Ni1 Ni 0.0000 0.5000 0.5000 1
Pd1 Pd 0.0000 0.0000 0.5000 1
Cl1 Cl 0.5000 0.5000 0.0000 1
```

Summary:
formation energy without anion corrections	1.1393	eV per atom

[6]
Density functional theory data (PBE) for a relaxed CsLaAs2Pd4 crystal.

Cell and atoms, written as CIF:
```
data_CsLaAs2Pd4
_symmetry_space_group_name_H-M 'P 4/m m m'
_symmetry_Int_Tables_number 123
_symmetry_space_group_name_Hall '-P 4 2'
_cell_length_a 4.2736
_cell_length_b 4.2736
_cell_length_c 11.3531
_cell_angle_alpha 90.00
_cell_angle_beta 90.00
_cell_angle_gamma 90.00
loop_
_atom_site_label
_atom_site_type_symbol
_atom_site_fract_x
_atom_site_fract_y
_atom_site_fract_z
_atom_site_occupancy
Cs1 Cs 0.0000 0.0000 0.0000 1
La1 La 0.0000 0.0000 0.5000 1
As1 As 0.5000 0.5000 0.2061 1
Pd1 Pd 0.0000 0.5000 0.3132 1
```

Summary:
formation enthalpy at 0 K	-550.7	meV/atom

[7]
Density functional theory data (PBE) for a relaxed PmSmZn10 crystal.

Cell and atoms, written as CIF:
```
data_PmSmZn10
_symmetry_space_group_name_H-M 'P m m m'
_symmetry_Int_Tables_number 47
_symmetry_space_group_name_Hall '-P 2 2'
_cell_length_a 4.2405
_cell_length_b 5.3644
_cell_length_c 9.2850
_cell_angle_alpha 90.00
_cell_angle_beta 90.00
_cell_angle_gamma 90.00
loop_
_atom_site_label
_atom_site_type_symbol
_atom_site_fract_x
_atom_site_fract_y
_atom_site_fract_z
_atom_site_occupancy
Pm1 Pm 0.0000 0.0000 0.0000 1
Sm1 Sm 0.0000 0.5000 0.5000 1
Zn1 Zn 0.0000 0.0000 0.3341 1
Zn2 Zn 0.0000 0.5000 0.1673 1
Zn3 Zn 0.5000 0.0000 0.5000 1
Zn4 Zn 0.5000 0.2504 0.2507 1
Zn5 Zn 0.5000 0.5000 0.0000 1
```

Summary:
formation enthalpy at 0 K	-295.8	meV/atom

[8]
Density functional theory data (PBE) for a relaxed CePm4Y7 crystal.

Cell and atoms, written as CIF:
```
data_CePm4Y7
_symmetry_space_group_name_H-M 'C 1 2/m 1'
_symmetry_Int_Tables_number 12
_symmetry_space_group_name_Hall '-C 2y'
_cell_length_a 19.0860
_cell_length_b 6.9511
_cell_length_c 6.0322
_cell_angle_alpha 90.00
_cell_angle_beta 90.35
_cell_angle_gamma 90.00
loop_
_atom_site_label
_atom_site_type_symbol
_atom_site_fract_x
_atom_site_fract_y
_atom_site_fract_z
_atom_site_occupancy
Ce1 Ce 0.0000 0.0000 0.0000 1
Pm1 Pm 0.1353 0.2746 0.2484 1
Y1 Y 0.0000 0.0000 0.5000 1
Y2 Y 0.0414 0.5000 0.7499 1
Y3 Y 0.1848 0.0000 0.7497 1
Y4 Y 0.2168 0.5000 0.7496 1
```

Summary:
formation enthalpy at 0 K	141.2	meV/atom

[9]
Density functional theory data (PBE) for a relaxed TlBrN2O crystal.

Cell and atoms, written as CIF:
```
data_TlBrN2O
_symmetry_space_group_name_H-M 'P 4/m m m'
_symmetry_Int_Tables_number 123
_symmetry_space_group_name_Hall '-P 4 2'
_cell_length_a 4.5801
_cell_length_b 4.5801
_cell_length_c 4.4672
_cell_angle_alpha 90.00
_cell_angle_beta 90.00
_cell_angle_gamma 90.00
loop_
_atom_site_label
_atom_site_type_symbol
_atom_site_fract_x
_atom_site_fract_y
_atom_site_fract_z
_atom_site_occupancy
Tl1 Tl 0.0000 0.0000 0.0000 1
Br1 Br 0.5000 0.5000 0.5000 1
N1 N 0.0000 0.5000 0.0000 1
O1 O 0.0000 0.0000 0.5000 1
```

Summary:
formation energy without anion corrections	1.9195	eV per atom

[10]
Density functional theory data (PBE) for a relaxed AlIn3 crystal.

Cell and atoms, written as CIF:
```
data_AlIn3
_symmetry_space_group_name_H-M 'C 1 2/m 1'
_symmetry_Int_Tables_number 12
_symmetry_space_group_name_Hall '-C 2y'
_cell_length_a 10.4434
_cell_length_b 3.4254
_cell_length_c 5.7059
_cell_angle_alpha 90.00
_cell_angle_beta 103.89
_cell_angle_gamma 90.00
loop_
_atom_site_label
_atom_site_type_symbol
_atom_site_fract_x
_atom_site_fract_y
_atom_site_fract_z
_atom_site_occupancy
Al1 Al 0.0000 0.0000 0.0000 1
In1 In 0.0000 0.5000 0.5000 1
In2 In 0.2401 0.5000 0.2368 1
```

Summary:
formation enthalpy at 0 K	116.8	meV/atom

[11]
Density functional theory data (PBE) for a relaxed PdSe2O5 crystal.

Cell and atoms, written as CIF:
```
data_PdSe2O5
_symmetry_space_group_name_H-M 'C 1 2/c 1'
_symmetry_Int_Tables_number 15
_symmetry_space_group_name_Hall '-C 2yc'
_cell_length_a 12.6495
_cell_length_b 5.9338
_cell_length_c 7.4340
_cell_angle_alpha 90.00
_cell_angle_beta 106.46
_cell_angle_gamma 90.00
loop_
_atom_site_label
_atom_site_type_symbol
_atom_site_fract_x
_atom_site_fract_y
_atom_site_fract_z
_atom_site_occupancy
Pd1 Pd 0.0000 0.0000 0.0000 1
Se1 Se 0.1343 0.3862 0.3137 1
O1 O 0.0000 0.4720 0.7500 1
O2 O 0.1251 0.2172 0.1241 1
O3 O 0.1249 0.2193 0.4972 1
```

Summary:
formation energy without anion corrections	-0.6426	eV per atom

[12]
Density functional theory data (PBE) for a relaxed LaRePd2 crystal.

Cell and atoms, written as CIF:
```
data_LaRePd2
_symmetry_space_group_name_H-M 'I -4 2 d'
_symmetry_Int_Tables_number 122
_symmetry_space_group_name_Hall 'I -4 2bw'
_cell_length_a 4.3900
_cell_length_b 4.3900
_cell_length_c 18.1864
_cell_angle_alpha 90.00
_cell_angle_beta 90.00
_cell_angle_gamma 90.00
loop_
_atom_site_label
_atom_site_type_symbol
_atom_site_fract_x
_atom_site_fract_y
_atom_site_fract_z
_atom_site_occupancy
La1 La 0.0000 0.0000 0.0000 1
Re1 Re 0.0000 0.0000 0.5000 1
Pd1 Pd 0.1776 0.2500 0.6250 1
```

Summary:
formation enthalpy at 0 K	394.9	meV/atom